The following is a GGA-PBE calculation of Ce3SbPCl after structural relaxation, from the Alexandria database.

Summary:
Formation energy from raw total energies in eV per atom: -1.2730
Total magnetic moment in μB/f.u.: 3.18
Energy in eV/cell: -73.64

abc: 7.201 4.198 11.220
angles: 90.00 101.82 90.00
Space group P2_1/m (No. 11)
Inequivalent atoms, fractional coordinates:
Ce  0.042  0.250  0.143 [2 per cell]
Ce  0.263  0.250  0.500 [2 per cell]
Ce  0.454  0.750  0.848 [2 per cell]
Sb  0.345  0.750  0.306 [2 per cell]
P  0.236  0.250  0.938 [2 per cell]
Cl  0.128  0.750  0.641 [2 per cell]

The following is a GGA-PBE calculation of SrHfW3 after structural relaxation, from the Alexandria database.

Summary:
Energy relative to the elements in eV per atom: 2.070
Total magnetic moment in μB/f.u.: 0.00
Offset from the most stable computed form in kcal/mol of atoms: 0.000
Energy in eV/cell: -40.14

abc: 4.966 4.966 4.966
angles: 90.00 90.00 90.00
Space group Pm-3m (No. 221)
Inequivalent atoms, fractional coordinates:
Sr  0.000  0.000  0.000 [1 per cell]
Hf  0.500  0.500  0.500 [1 per cell]
W  0.000  0.500  0.500 [3 per cell]

The following is a GGA-PBE calculation of CdIn7Hg12 after structural relaxation, from the Alexandria database.

Summary:
Energy relative to the elements in eV per atom: 0.125
Total magnetic moment in μB/f.u.: 0.00
Offset from the most stable computed form in kcal/mol of atoms: 2.291
Energy in eV/cell: -42.40

abc: 10.888 10.888 10.888
angles: 90.00 90.00 90.00
Space group Im-3 (No. 204)
Inequivalent atoms, fractional coordinates:
Cd  0.000  0.000  0.000 [2 per cell]
In  0.000  0.000  0.500 [6 per cell]
In  0.250  0.250  0.250 [8 per cell]
Hg  0.000  0.270  0.153 [24 per cell]